! Ba2Al4Hg3Pb, optimized geometry, DFT PBE; values from VASP
! - Volume: 265 Å³ per cell
! - Formation energy: -6.31 kcal/mol of atoms
&SYSTEM
  ibrav = 0, nat = 10, ntyp = 4
/
ATOMIC_SPECIES
Ba 137.33 Ba.upf
Al 26.98 Al.upf
Hg 200.59 Hg.upf
Pb 207.20 Pb.upf
ATOMIC_POSITIONS crystal
Ba 0.0000 0.5000 0.2450
Ba 0.5000 0.0000 0.7550
Al 0.0000 0.0000 0.0000
Al 0.0000 0.5000 0.6398
Al 0.5000 0.0000 0.3602
Al 0.5000 0.5000 0.0000
Hg 0.0000 0.5000 0.8752
Hg 0.5000 0.0000 0.1248
Hg 0.5000 0.5000 0.5000
Pb 0.0000 0.0000 0.5000
CELL_PARAMETERS angstrom
4.8148 0.0000 0.0000
0.0000 4.8148 0.0000
0.0000 0.0000 11.4267

! BaAlHg2Pb, optimized geometry, DFT PBE; values from VASP
! - Volume: 159 Å³ per cell
! - Formation energy: -4.31 kcal/mol of atoms
&SYSTEM
  ibrav = 0, nat = 5, ntyp = 4
/
ATOMIC_SPECIES
Ba 137.33 Ba.upf
Al 26.98 Al.upf
Hg 200.59 Hg.upf
Pb 207.20 Pb.upf
ATOMIC_POSITIONS crystal
Ba 0.0000 0.0000 0.0000
Al 0.5000 0.5000 0.5000
Hg 0.0000 0.5000 0.5000
Hg 0.5000 0.0000 0.5000
Pb 0.5000 0.5000 0.0000
CELL_PARAMETERS angstrom
5.3210 0.0000 0.0000
0.0000 5.3210 0.0000
0.0000 0.0000 5.6118

! Ba2AlHgPd, optimized geometry, DFT PBE; values from VASP
! - Volume: 185 Å³ per cell
! - Formation energy: -8.98 kcal/mol of atoms
&SYSTEM
  ibrav = 0, nat = 5, ntyp = 4
/
ATOMIC_SPECIES
Ba 137.33 Ba.upf
Al 26.98 Al.upf
Hg 200.59 Hg.upf
Pd 106.42 Pd.upf
ATOMIC_POSITIONS crystal
Ba 0.0000 0.5000 0.0000
Ba 0.5000 0.0000 0.0000
Al 0.0000 0.0000 0.5000
Hg 0.5000 0.5000 0.5000
Pd 0.0000 0.0000 0.0000
CELL_PARAMETERS angstrom
6.1859 0.0000 0.0000
0.0000 6.1859 0.0000
0.0000 0.0000 4.8298

! BaPrAlHg, optimized geometry, DFT PBE; values from VASP
! - Volume: 128 Å³ per cell
! - Formation energy: -5.30 kcal/mol of atoms
&SYSTEM
  ibrav = 0, nat = 4, ntyp = 4
/
ATOMIC_SPECIES
Ba 137.33 Ba.upf
Pr 140.91 Pr.upf
Al 26.98 Al.upf
Hg 200.59 Hg.upf
ATOMIC_POSITIONS crystal
Ba 0.0000 0.0000 0.0000
Pr 0.5000 0.5000 0.5000
Al 0.7500 0.7500 0.7500
Hg 0.2500 0.2500 0.2500
CELL_PARAMETERS angstrom
0.0000 4.0012 4.0012
4.0012 0.0000 4.0012
4.0012 4.0012 0.0000

! Ba2AlHgRh, optimized geometry, DFT PBE; values from VASP
! - Volume: 177 Å³ per cell
! - Formation energy: -7.77 kcal/mol of atoms
&SYSTEM
  ibrav = 0, nat = 5, ntyp = 4
/
ATOMIC_SPECIES
Ba 137.33 Ba.upf
Al 26.98 Al.upf
Hg 200.59 Hg.upf
Rh 102.91 Rh.upf
ATOMIC_POSITIONS crystal
Ba 0.0000 0.5000 0.0000
Ba 0.5000 0.0000 0.0000
Al 0.0000 0.0000 0.5000
Hg 0.5000 0.5000 0.5000
Rh 0.0000 0.0000 0.0000
CELL_PARAMETERS angstrom
6.0629 0.0000 0.0000
0.0000 6.0629 0.0000
0.0000 0.0000 4.8127

! BaAlHg2S, optimized geometry, DFT PBE; values from VASP
! - Uncorrected formation energy: -52 meV/atom
! - Volume: 174 Å³ per cell
&SYSTEM
  ibrav = 0, nat = 5, ntyp = 4
/
ATOMIC_SPECIES
Ba 137.33 Ba.upf
Al 26.98 Al.upf
Hg 200.59 Hg.upf
S 32.06 S.upf
ATOMIC_POSITIONS crystal
Ba 0.0000 0.0000 0.0000
Al 0.5000 0.5000 0.0000
Hg 0.0000 0.5000 0.5000
Hg 0.5000 0.0000 0.5000
S 0.5000 0.5000 0.5000
CELL_PARAMETERS angstrom
6.2024 0.0000 0.0000
0.0000 6.2024 0.0000
0.0000 0.0000 4.5198

! Ba2AlHgS5, optimized geometry, DFT PBE; values from VASP
! - Uncorrected formation energy: -1161 meV/atom
! - Volume: 482 Å³ per cell
&SYSTEM
  ibrav = 0, nat = 18, ntyp = 4
/
ATOMIC_SPECIES
Ba 137.33 Ba.upf
Al 26.98 Al.upf
Hg 200.59 Hg.upf
S 32.06 S.upf
ATOMIC_POSITIONS crystal
Ba 0.1089 0.8911 0.5000
Ba 0.1195 0.8805 0.8813
Ba 0.8805 0.1195 0.3813
Ba 0.8911 0.1089 0.0000
Al 0.4402 0.5598 0.6572
Al 0.5598 0.4402 0.1572
Hg 0.2285 0.7715 0.2269
Hg 0.7715 0.2285 0.7269
S 0.0351 0.9649 0.2481
S 0.2868 0.7132 0.8727
S 0.3267 0.6733 0.6063
S 0.3570 0.6430 0.1900
S 0.4857 0.5143 0.4891
S 0.5143 0.4857 0.9891
S 0.6430 0.3570 0.6900
S 0.6733 0.3267 0.1063
S 0.7132 0.2868 0.3727
S 0.9649 0.0351 0.7481
CELL_PARAMETERS angstrom
2.0198 -9.7953 0.0000
2.0198 9.7953 0.0000
0.0000 0.0000 12.1838

! BaAlHg2Sb, optimized geometry, DFT PBE; values from VASP
! - Uncorrected formation energy: -323 meV/atom
! - Volume: 158 Å³ per cell
&SYSTEM
  ibrav = 0, nat = 5, ntyp = 4
/
ATOMIC_SPECIES
Ba 137.33 Ba.upf
Al 26.98 Al.upf
Hg 200.59 Hg.upf
Sb 121.76 Sb.upf
ATOMIC_POSITIONS crystal
Ba 0.0000 0.0000 0.0000
Al 0.5000 0.5000 0.5000
Hg 0.0000 0.5000 0.5000
Hg 0.5000 0.0000 0.5000
Sb 0.5000 0.5000 0.0000
CELL_PARAMETERS angstrom
5.2739 0.0000 0.0000
0.0000 5.2739 0.0000
0.0000 0.0000 5.6646

! BaAlHg2Se4, optimized geometry, DFT PBE; values from VASP
! - Uncorrected formation energy: -829 meV/atom
! - Volume: 234 Å³ per cell
&SYSTEM
  ibrav = 0, nat = 8, ntyp = 4
/
ATOMIC_SPECIES
Ba 137.33 Ba.upf
Al 26.98 Al.upf
Hg 200.59 Hg.upf
Se 78.96 Se.upf
ATOMIC_POSITIONS crystal
Ba 0.0000 0.0000 0.0000
Al 0.5000 0.5000 0.0000
Hg 0.2529 0.7529 0.5000
Hg 0.7471 0.2471 0.5000
Se 0.1481 0.5293 0.0009
Se 0.4716 0.4707 0.6188
Se 0.5284 0.1472 0.9991
Se 0.8519 0.8528 0.3812
CELL_PARAMETERS angstrom
-3.7461 3.7791 4.1259
3.7461 -3.7791 4.1259
3.7461 3.7791 -4.1259

! Ba2Al4Si3Hg, optimized geometry, DFT PBE; values from VASP
! - Uncorrected formation energy: -231 meV/atom
! - Volume: 229 Å³ per cell
&SYSTEM
  ibrav = 0, nat = 10, ntyp = 4
/
ATOMIC_SPECIES
Ba 137.33 Ba.upf
Al 26.98 Al.upf
Si 28.09 Si.upf
Hg 200.59 Hg.upf
ATOMIC_POSITIONS crystal
Ba 0.0000 0.5000 0.2496
Ba 0.5000 0.0000 0.7504
Al 0.0000 0.0000 0.0000
Al 0.0000 0.5000 0.6297
Al 0.5000 0.0000 0.3703
Al 0.5000 0.5000 0.0000
Si 0.0000 0.5000 0.8836
Si 0.5000 0.0000 0.1164
Si 0.5000 0.5000 0.5000
Hg 0.0000 0.0000 0.5000
CELL_PARAMETERS angstrom
4.6998 0.0000 0.0000
0.0000 4.6998 0.0000
0.0000 0.0000 10.3840

! BaAlSnHg2, optimized geometry, DFT PBE; values from VASP
! - Volume: 155 Å³ per cell
! - Formation energy: -4.89 kcal/mol of atoms
&SYSTEM
  ibrav = 0, nat = 5, ntyp = 4
/
ATOMIC_SPECIES
Ba 137.33 Ba.upf
Al 26.98 Al.upf
Sn 118.71 Sn.upf
Hg 200.59 Hg.upf
ATOMIC_POSITIONS crystal
Ba 0.0000 0.0000 0.0000
Al 0.5000 0.5000 0.5000
Sn 0.5000 0.5000 0.0000
Hg 0.0000 0.5000 0.5000
Hg 0.5000 0.0000 0.5000
CELL_PARAMETERS angstrom
5.3090 0.0000 0.0000
0.0000 5.3090 0.0000
0.0000 0.0000 5.5170

! Ba2AlSnHg6, optimized geometry, DFT PBE; values from VASP
! - Volume: 615 Å³ per cell
! - Formation energy: -6.29 kcal/mol of atoms
&SYSTEM
  ibrav = 0, nat = 20, ntyp = 4
/
ATOMIC_SPECIES
Ba 137.33 Ba.upf
Al 26.98 Al.upf
Sn 118.71 Sn.upf
Hg 200.59 Hg.upf
ATOMIC_POSITIONS crystal
Ba 0.2500 0.0161 0.2465
Ba 0.2500 0.4839 0.2465
Ba 0.7500 0.5161 0.7535
Ba 0.7500 0.9839 0.7535
Al 0.2500 0.2500 0.5983
Al 0.7500 0.7500 0.4017
Sn 0.2500 0.7500 0.9064
Sn 0.7500 0.2500 0.0936
Hg 0.0600 0.7500 0.5322
Hg 0.0606 0.2500 0.9055
Hg 0.2500 0.5052 0.7115
Hg 0.2500 0.9948 0.7115
Hg 0.4394 0.2500 0.9055
Hg 0.4400 0.7500 0.5322
Hg 0.5600 0.2500 0.4678
Hg 0.5606 0.7500 0.0945
Hg 0.7500 0.0052 0.2885
Hg 0.7500 0.4948 0.2885
Hg 0.9394 0.7500 0.0945
Hg 0.9400 0.2500 0.4678
CELL_PARAMETERS angstrom
7.7181 0.0000 0.0000
0.0000 9.7370 0.0000
0.0000 0.0000 8.1829

Number 1: E_tot -26.17 eV per formula unit. Number 2: E_tot -10.91 eV per formula unit. Number 3: E_tot -15.03 eV per formula unit. Number 4: E_tot -11.67 eV per formula unit. Number 5: E_tot -16.93 eV per formula unit. Number 6: E_tot -10.66 eV per formula unit. Number 7: E_tot -38.98 eV per formula unit. Number 8: E_tot -12.00 eV per formula unit. Number 9: E_tot -26.84 eV per formula unit. Number 10: E_tot -37.70 eV per formula unit. Number 11: E_tot -11.33 eV per formula unit. Number 12: E_tot -16.13 eV per formula unit.